The following is a DFT calculation (PBE-GGA) of a relaxed structure of K2ZrCu2Te6.

Cell lengths 6.6245, 7.8228, 8.5242 Å; angles 114.83, 90.00, 115.05 degrees
Last column: nearest neighbours and their distance in Å.
Atoms (fractional coordinates):
K  0.7198  0.4397  0.2091  7 Te 3.46-3.65, 2 Cu 3.75
K  0.2802  0.5603  0.7909  7 Te 3.46-3.65, 2 Cu 3.75
Zr  0.5000  0.0000  0.5000  6 Te 2.85-2.95
Cu  0.9164  0.8328  0.8444  3 Te 2.51-2.62, 1 Cu 2.61
Cu  0.0836  0.1672  0.1556  3 Te 2.51-2.62, 1 Cu 2.61
Te  0.7236  0.4471  0.6184  1 Cu 2.51
Te  0.1840  0.8936  0.1910  1 Cu 2.62
Te  0.2905  0.1064  0.8090  1 Cu 2.62
Te  0.8159  0.1064  0.8090  1 Cu 2.62
Te  0.7095  0.8936  0.1910  1 Cu 2.62
Te  0.2764  0.5529  0.3816  1 Cu 2.51

Summary:
The calculation puts the uncorrected formation energy at -431 meV per atom. The total energy comes out at -42.53 eV for the cell shown.

The following is a DFT calculation (PBE-GGA) of a relaxed structure of KZrCuTe4.

Cell lengths 7.2207, 6.2114, 10.0530 Å; angles 90.00, 108.87, 90.00 degrees
Last column: nearest neighbours and their distance in Å.
Atoms (fractional coordinates):
K  0.7829  0.7500  0.9570  8 Te 3.54-3.91
K  0.2171  0.2500  0.0430  8 Te 3.54-3.91
Zr  0.7266  0.7500  0.4414  6 Te 2.93-3.10, 1 Cu 2.99
Zr  0.2734  0.2500  0.5586  6 Te 2.93-3.10, 1 Cu 2.99
Cu  0.2883  0.7500  0.3410  4 Te 2.51-2.65
Cu  0.7117  0.2500  0.6590  4 Te 2.51-2.65
Te  0.0176  0.5053  0.6911  1 Cu 2.65
Te  0.9824  0.0053  0.3089  1 Cu 2.65
Te  0.9824  0.4947  0.3089  1 Cu 2.65
Te  0.0176  0.9947  0.6911  1 Cu 2.65
Te  0.4502  0.7500  0.1545  1 Cu 2.51
Te  0.5498  0.2500  0.8455  1 Cu 2.51
Te  0.4473  0.7500  0.6049  1 Cu 2.53
Te  0.5527  0.2500  0.3951  1 Cu 2.53

Summary:
The calculation puts the uncorrected formation energy at -601 meV per atom. The total energy comes out at -61.03 eV for the cell shown.

The following is a DFT calculation (PBE-GGA) of a relaxed structure of K3Zr2CuTe6.

Cell lengths 7.4173, 7.4173, 8.5091 Å; angles 98.45, 98.45, 119.75 degrees
Last column: nearest neighbours and their distance in Å.
Atoms (fractional coordinates):
K  0.1683  0.8317  0.5000  6 Te 3.51-3.52
K  0.8317  0.1683  0.5000  6 Te 3.51-3.52
K  0.5000  0.5000  0.5000  6 Te 3.50-3.51
Zr  0.3339  0.6661  0.0000  6 Te 2.94-2.95
Zr  0.6661  0.3339  0.0000  6 Te 2.94-2.95
Cu  0.0000  0.0000  0.0000  6 Te 2.90-2.95
Te  0.9354  0.6063  0.8072  1 Cu 2.90, 2 Zr 2.95
Te  0.7327  0.7327  0.1964  2 Zr 2.94, 1 Cu 2.95
Te  0.0646  0.3937  0.1928  1 Cu 2.90, 2 Zr 2.95
Te  0.6063  0.9354  0.8072  1 Cu 2.90, 2 Zr 2.95
Te  0.2673  0.2673  0.8036  2 Zr 2.94, 1 Cu 2.95
Te  0.3937  0.0646  0.1928  1 Cu 2.90, 2 Zr 2.95

Summary:
The calculation puts the uncorrected formation energy at -802 meV per atom. The total energy comes out at -52.96 eV for the cell shown.

The following is a DFT calculation (PBE-GGA) of a relaxed structure of KZrCu2Te4.

Cell lengths 6.5610, 7.3525, 7.3525 Å; angles 76.79, 63.50, 63.50 degrees
Last column: nearest neighbours and their distance in Å.
Atoms (fractional coordinates):
K  0.0000  0.0000  0.0000  8 Te 3.69-3.93
Zr  0.5000  0.5000  0.5000  4 Te 2.77
Cu  0.1271  0.3729  0.3729  1 Cu 2.41, 2 Te 2.48
Cu  0.8729  0.6271  0.6271  1 Cu 2.41, 2 Te 2.48
Te  0.4314  0.1481  0.5250  1 Cu 2.48, 1 Zr 2.77
Te  0.1045  0.8519  0.4750  1 Cu 2.48, 1 Zr 2.77
Te  0.8955  0.5250  0.1481  1 Cu 2.48, 1 Zr 2.77
Te  0.5686  0.4750  0.8519  1 Cu 2.48, 1 Zr 2.77

Summary:
The calculation puts the uncorrected formation energy at -380 meV per atom. The total energy comes out at -33.45 eV for the cell shown.

The following is a DFT calculation (PBE-GGA) of a relaxed structure of K4Zr3CuTe8.

Cell lengths 8.5124, 9.5729, 8.5140 Å; angles 116.43, 119.99, 90.00 degrees
Last column: nearest neighbours and their distance in Å.
Atoms (fractional coordinates):
K  0.5000  0.0000  0.0000  6 Te 3.54-3.55
K  0.5000  0.0000  0.5000  6 Te 3.45-3.51
K  0.0000  0.0000  0.0000  6 Te 3.45-3.51
K  0.0000  0.0000  0.5000  6 Te 3.45-3.51
Zr  0.5000  0.5000  0.0000  6 Te 2.94-2.98
Zr  0.5000  0.5000  0.5000  6 Te 2.94-2.98
Zr  0.0000  0.5000  0.5000  6 Te 2.94-2.98
Cu  0.0000  0.5000  0.0000  6 Te 2.89-2.90
Te  0.2286  0.6931  0.9646  1 Cu 2.89, 2 Zr 2.94
Te  0.2288  0.6932  0.4575  1 Cu 2.90, 2 Zr 2.94
Te  0.2650  0.2951  0.5300  3 Zr 2.98
Te  0.7360  0.6931  0.9646  1 Cu 2.89, 2 Zr 2.94
Te  0.2640  0.3069  0.0354  1 Cu 2.89, 2 Zr 2.94
Te  0.7350  0.7049  0.4700  3 Zr 2.98
Te  0.7712  0.3068  0.5425  1 Cu 2.90, 2 Zr 2.94
Te  0.7714  0.3069  0.0354  1 Cu 2.89, 2 Zr 2.94

Summary:
The calculation puts the uncorrected formation energy at -844 meV per atom. The total energy comes out at -72.76 eV for the cell shown.

The following is a DFT calculation (PBE-GGA) of a relaxed structure of K2ZrCuTe4.

Cell lengths 9.1645, 9.1645, 8.6667 Å; angles 118.20, 118.20, 94.65 degrees
Last column: nearest neighbours and their distance in Å.
Atoms (fractional coordinates):
K  0.5000  0.0000  0.0000  4 Te 3.32
K  0.5000  0.0000  0.5000  4 Te 3.32
K  0.0000  0.0000  0.5000  6 Te 3.33-3.52
K  0.5000  0.5000  0.0000  6 Te 3.33-3.52
Zr  0.0000  0.5000  0.0000  6 Te 2.91-3.02
Zr  0.0000  0.5000  0.5000  6 Te 2.91-3.02
Cu  0.5000  0.5000  0.5000  4 Te 2.79-2.80
Cu  0.0000  0.0000  0.0000  4 Te 2.79-2.80
Te  0.2216  0.7139  0.9677  2 Zr 2.91
Te  0.7861  0.2784  0.5323  2 Zr 2.91
Te  0.2139  0.7216  0.4677  2 Zr 2.91
Te  0.7784  0.2861  0.0323  2 Zr 2.91
Te  0.7800  0.7208  0.9399  2 Cu 2.79-2.80, 1 Zr 3.02
Te  0.7792  0.7200  0.5601  2 Cu 2.79-2.80, 1 Zr 3.02
Te  0.2208  0.2800  0.4399  2 Cu 2.79-2.80, 1 Zr 3.02
Te  0.2200  0.2792  0.0601  2 Cu 2.79-2.80, 1 Zr 3.02

Summary:
The calculation puts the uncorrected formation energy at -644 meV per atom. The total energy comes out at -65.11 eV for the cell shown.

The following is a DFT calculation (PBE-GGA) of a relaxed structure of KTiCu2.

Cell lengths 7.5146, 7.5146, 6.3083 Å; angles 53.44, 53.44, 90.00 degrees
Last column: nearest neighbours and their distance in Å.
Atoms (fractional coordinates):
K  0.5000  0.5000  0.0000  8 Cu 3.12-3.47, 2 Ti 3.40
K  0.2500  0.7500  0.5000  8 Cu 3.12-3.47, 2 Ti 3.40
Cu  0.6868  0.1250  0.2500  2 Ti 2.50
Cu  0.0632  0.6250  0.2500  2 Ti 2.50
Cu  0.3750  0.3132  0.7500  2 Ti 2.50
Cu  0.8750  0.9368  0.7500  2 Ti 2.50
Ti  0.0000  0.0000  0.0000  4 Cu 2.50
Ti  0.7500  0.2500  0.5000  4 Cu 2.50

Summary:
Its energy relative to the elements is 878 meV/atom. The total energy comes out at -27.35 eV for the cell shown.

The following is a DFT calculation (PBE-GGA) of a relaxed structure of KTiCu3.

Cell lengths 4.9361, 4.9361, 4.9361 Å; angles 90.00, 90.00, 90.00 degrees
Last column: nearest neighbours and their distance in Å.
Atoms (fractional coordinates):
K  0.5000  0.5000  0.5000  12 Cu 3.49
Cu  0.0000  0.5000  0.0000  2 Ti 2.47
Cu  0.0000  0.0000  0.5000  2 Ti 2.47
Cu  0.5000  0.0000  0.0000  2 Ti 2.47
Ti  0.0000  0.0000  0.0000  6 Cu 2.47

Summary:
Its energy relative to the elements is 814 meV/atom. The total energy comes out at -17.21 eV for the cell shown.

The following is a DFT calculation (PBE-GGA) of a relaxed structure of KTi2Cu.

Cell lengths 4.7614, 4.7614, 4.7614 Å; angles 60.00, 60.00, 60.00 degrees
Last column: nearest neighbours and their distance in Å.
Atoms (fractional coordinates):
K  0.0000  0.0000  0.0000  8 Ti 2.92
Cu  0.5000  0.5000  0.5000  8 Ti 2.92
Ti  0.2500  0.2500  0.2500  4 K 2.92, 4 Cu 2.92
Ti  0.7500  0.7500  0.7500  4 K 2.92, 4 Cu 2.92

Summary:
Its energy relative to the elements is 1101 meV/atom. The total energy comes out at -16.58 eV for the cell shown.

The following is a DFT calculation (PBE-GGA) of a relaxed structure of KTiCu2.

Cell lengths 4.7854, 4.7854, 4.7854 Å; angles 60.00, 60.00, 60.00 degrees
Last column: nearest neighbours and their distance in Å.
Atoms (fractional coordinates):
K  0.0000  0.0000  0.0000  8 Cu 2.93
Cu  0.2500  0.2500  0.2500  4 Ti 2.93, 4 K 2.93
Cu  0.7500  0.7500  0.7500  4 K 2.93, 4 Ti 2.93
Ti  0.5000  0.5000  0.5000  8 Cu 2.93

Summary:
Its energy relative to the elements is 845 meV/atom. The total energy comes out at -13.81 eV for the cell shown.

The following is a DFT calculation (PBE-GGA) of a relaxed structure of KTi2Cu.

Cell lengths 4.6150, 4.6150, 10.3855 Å; angles 77.16, 77.16, 90.00 degrees
Last column: nearest neighbours and their distance in Å.
Atoms (fractional coordinates):
K  0.5000  0.5000  0.0000  4 Cu 3.26, 4 Ti 3.47
K  0.2500  0.7500  0.5000  4 Cu 3.26, 4 Ti 3.47
Cu  0.0000  0.0000  0.0000  4 Ti 2.73
Cu  0.7500  0.2500  0.5000  4 Ti 2.73
Ti  0.8407  0.1250  0.2500  2 Ti 2.33
Ti  0.9093  0.6250  0.2500  2 Ti 2.33
Ti  0.3750  0.1593  0.7500  2 Ti 2.33
Ti  0.8750  0.0907  0.7500  2 Ti 2.33

Summary:
Its energy relative to the elements is 1130 meV/atom. The total energy comes out at -32.93 eV for the cell shown.

The following is a DFT calculation (PBE-GGA) of a relaxed structure of KTiCu3.

Cell lengths 4.8540, 4.8540, 4.8540 Å; angles 90.00, 90.00, 90.00 degrees
Last column: nearest neighbours and their distance in Å.
Atoms (fractional coordinates):
K  0.0000  0.0000  0.0000  6 Cu 2.43
Cu  0.0000  0.5000  0.0000  2 K 2.43
Cu  0.0000  0.0000  0.5000  2 K 2.43
Cu  0.5000  0.0000  0.0000  2 K 2.43
Ti  0.5000  0.5000  0.5000  12 Cu 3.43

Summary:
Its energy relative to the elements is 1741 meV/atom. The total energy comes out at -12.57 eV for the cell shown.

The following is a DFT calculation (PBE-GGA) of a relaxed structure of K2TiVCu.

Cell lengths 5.9132, 5.0419, 5.9132 Å; angles 90.00, 90.00, 90.00 degrees
Last column: nearest neighbours and their distance in Å.
Atoms (fractional coordinates):
K  0.0000  0.0000  0.5000  2 Cu 2.96
K  0.5000  0.0000  0.0000  2 Cu 2.96
Ti  0.0000  0.5000  0.0000  2 Cu 2.52
Cu  0.0000  0.0000  0.0000  2 Ti 2.52
V  0.5000  0.5000  0.5000  8 K 3.89, 4 Ti 4.18

Summary:
Its energy relative to the elements is 1412 meV/atom. The total energy comes out at -16.24 eV for the cell shown.